Version a
Computed, not measured: a geometry-optimized Nb3SbOs structure at the PBE level of DFT.

Values from the calculation:
SG: Pm-3m (221)
N(E_F), states/eV per cell: 6.38

a = 4.9048 Å, b = 4.9048 Å, c = 4.9048 Å
α = 90.00°, β = 90.00°, γ = 90.00°
Atoms (fractional coordinates):
Sb1 0.0000 0.0000 0.0000
Nb1 0.0000 0.5000 0.0000
Nb2 0.0000 0.0000 0.5000
Nb3 0.5000 0.0000 0.0000
Os1 0.5000 0.5000 0.5000



Version b
Computed, not measured: a geometry-optimized Nb3SbOs structure at the PBE level of DFT.

Values from the calculation:
SG: Pm-3m (221)
N(E_F), states/eV per cell: 4.70

a = 4.8810 Å, b = 4.8810 Å, c = 4.8810 Å
α = 90.00°, β = 90.00°, γ = 90.00°
Atoms (fractional coordinates):
Sb1 0.5000 0.5000 0.5000
Nb1 0.0000 0.5000 0.0000
Nb2 0.0000 0.0000 0.5000
Nb3 0.5000 0.0000 0.0000
Os1 0.0000 0.0000 0.0000



Stability summary - winner: version b; margin: 113.3 kJ/mol of atoms.



Version a
Computed, not measured: a geometry-optimized NbSb2Os structure at the PBE level of DFT.

Values from the calculation:
SG: I-42d (122)
N(E_F), states/eV per cell: 10.25

a = 6.3967 Å, b = 6.3967 Å, c = 7.1916 Å
α = 63.59°, β = 63.59°, γ = 90.00°
Last column: magnetic moment on the atom in μB.
Atoms (fractional coordinates):
Sb1 0.6537 0.1250 0.2500  -0.03
Sb2 0.0963 0.6250 0.2500  -0.03
Sb3 0.3750 0.3463 0.7500  -0.03
Sb4 0.8750 0.9037 0.7500  -0.03
Nb1 0.5000 0.5000 0.0000  1.05
Nb2 0.2500 0.7500 0.5000  1.05
Os1 0.0000 0.0000 0.0000  0.18
Os2 0.7500 0.2500 0.5000  0.18



Version b
Computed, not measured: a geometry-optimized NbSb2Os structure at the PBE level of DFT.

Values from the calculation:
SG: Fm-3m (225)
N(E_F), states/eV per cell: 4.04

a = 4.7194 Å, b = 4.7194 Å, c = 4.7194 Å
α = 60.00°, β = 60.00°, γ = 60.00°
Atoms (fractional coordinates):
Sb1 0.2500 0.2500 0.2500
Sb2 0.7500 0.7500 0.7500
Nb1 0.0000 0.0000 0.0000
Os1 0.5000 0.5000 0.5000



Stability summary - winner: version b; margin: 63.5 kJ/mol of atoms.



Version a
Computed, not measured: a geometry-optimized Sc2NbOs2 structure at the PBE level of DFT.

Values from the calculation:
SG: Cmmm (65)
N(E_F), states/eV per cell: 3.10

a = 3.1229 Å, b = 3.1446 Å, c = 9.9468 Å
α = 80.91°, β = 90.00°, γ = 90.00°
Atoms (fractional coordinates):
Sc1 0.0000 0.1670 0.6659
Sc2 0.0000 0.8330 0.3341
Nb1 0.0000 0.0000 0.0000
Os1 0.5000 0.4177 0.1646
Os2 0.5000 0.5823 0.8354



Version b
Computed, not measured: a geometry-optimized Sc2NbOs2 structure at the PBE level of DFT.

Values from the calculation:
SG: P4/mbm (127)
N(E_F), states/eV per cell: 8.86

a = 6.6787 Å, b = 6.6787 Å, c = 4.3087 Å
α = 90.00°, β = 90.00°, γ = 90.00°
Atoms (fractional coordinates):
Sc1 0.1775 0.6775 0.5000
Sc2 0.6775 0.8225 0.5000
Sc3 0.8225 0.3225 0.5000
Sc4 0.3225 0.1775 0.5000
Nb1 0.0000 0.0000 0.0000
Nb2 0.5000 0.5000 0.0000
Os1 0.3707 0.8707 0.0000
Os2 0.8707 0.6293 0.0000
Os3 0.6293 0.1293 0.0000
Os4 0.1293 0.3707 0.0000



Stability summary - winner: version a; margin: 10.5 kJ/mol of atoms.



Version a
Computed, not measured: a geometry-optimized ScNb3Os structure at the PBE level of DFT.

Values from the calculation:
SG: Pm-3m (221)
N(E_F), states/eV per cell: 6.62

a = 4.8906 Å, b = 4.8906 Å, c = 4.8906 Å
α = 90.00°, β = 90.00°, γ = 90.00°
Atoms (fractional coordinates):
Sc1 0.5000 0.5000 0.5000
Nb1 0.0000 0.5000 0.0000
Nb2 0.0000 0.0000 0.5000
Nb3 0.5000 0.0000 0.0000
Os1 0.0000 0.0000 0.0000



Version b
Computed, not measured: a geometry-optimized ScNb3Os structure at the PBE level of DFT.

Values from the calculation:
SG: Pm-3m (221)
N(E_F), states/eV per cell: 7.35

a = 4.6203 Å, b = 4.6203 Å, c = 4.6203 Å
α = 90.00°, β = 90.00°, γ = 90.00°
Atoms (fractional coordinates):
Sc1 0.0000 0.0000 0.0000
Nb1 0.0000 0.5000 0.0000
Nb2 0.0000 0.0000 0.5000
Nb3 0.5000 0.0000 0.0000
Os1 0.5000 0.5000 0.5000



Stability summary - winner: version a; margin: 108.3 kJ/mol of atoms.



Version a
Computed, not measured: a geometry-optimized ScNbOs structure at the PBE level of DFT.

Values from the calculation:
SG: Amm2 (38)
N(E_F), states/eV per cell: 10.03

a = 5.4100 Å, b = 5.4100 Å, c = 8.7221 Å
α = 90.00°, β = 90.00°, γ = 119.26°
Atoms (fractional coordinates):
Sc1 0.3320 0.6680 0.2996
Sc2 0.6655 0.3345 0.1734
Sc3 0.6655 0.3345 0.8266
Sc4 0.3320 0.6680 0.7004
Nb1 0.9952 0.0048 0.2357
Nb2 0.9952 0.0048 0.7643
Nb3 0.3452 0.1656 0.5000
Nb4 0.8344 0.6548 0.5000
Os1 0.8335 0.1665 0.5000
Os2 0.6529 0.8266 0.0000
Os3 0.1734 0.3471 0.0000
Os4 0.1752 0.8248 0.0000



Version b
Computed, not measured: a geometry-optimized ScNbOs structure at the PBE level of DFT.

Values from the calculation:
SG: I4mm (107)
N(E_F), states/eV per cell: 2.71

a = 3.2054 Å, b = 3.2054 Å, c = 5.6392 Å
α = 106.51°, β = 106.51°, γ = 90.00°
Atoms (fractional coordinates):
Sc1 0.6091 0.6091 0.2183
Nb1 0.2999 0.2999 0.5999
Os1 0.9409 0.9409 0.8819



Stability summary - winner: version a; margin: 1.2 kJ/mol of atoms.



Version a
Computed, not measured: a geometry-optimized NbOs3Se structure at the PBE level of DFT.

Values from the calculation:
SG: Pm-3m (221)
N(E_F), states/eV per cell: 6.50

a = 4.8032 Å, b = 4.8032 Å, c = 4.8032 Å
α = 90.00°, β = 90.00°, γ = 90.00°
Last column: magnetic moment on the atom in μB.
Atoms (fractional coordinates):
Nb1 0.0000 0.0000 0.0000  -0.23
Os1 0.0000 0.5000 0.0000  1.20
Os2 0.0000 0.0000 0.5000  1.08
Os3 0.5000 0.0000 0.0000  1.00
Se1 0.5000 0.5000 0.5000  0.07



Version b
Computed, not measured: a geometry-optimized NbOs3Se structure at the PBE level of DFT.

Values from the calculation:
SG: Pm-3m (221)
N(E_F), states/eV per cell: 4.96

a = 4.5060 Å, b = 4.5060 Å, c = 4.5060 Å
α = 90.00°, β = 90.00°, γ = 90.00°
Atoms (fractional coordinates):
Nb1 0.5000 0.5000 0.5000
Os1 0.0000 0.5000 0.0000
Os2 0.0000 0.0000 0.5000
Os3 0.5000 0.0000 0.0000
Se1 0.0000 0.0000 0.0000



Stability summary - winner: version b; margin: 83.3 kJ/mol of atoms.



Version a
Computed, not measured: a geometry-optimized NbOsSe4 structure at the PBE level of DFT.

Values from the calculation:
SG: Cmmm (65)
N(E_F), states/eV per cell: 4.79

a = 3.7097 Å, b = 6.0311 Å, c = 6.0310 Å
α = 90.86°, β = 90.00°, γ = 90.00°
Atoms (fractional coordinates):
Nb1 0.0000 0.5000 0.5000
Os1 0.5000 0.0000 0.0000
Se1 0.5000 0.2912 0.7088
Se2 0.0000 0.8085 0.8085
Se3 0.0000 0.1915 0.1915
Se4 0.5000 0.7088 0.2912



Version b
Computed, not measured: a geometry-optimized NbOsSe4 structure at the PBE level of DFT.

Values from the calculation:
SG: Cm (8)
N(E_F), states/eV per cell: 1.93

a = 3.4376 Å, b = 7.3021 Å, c = 5.9650 Å
α = 101.54°, β = 90.00°, γ = 103.61°
Last column: magnetic moment on the atom in μB.
Atoms (fractional coordinates):
Nb1 0.0060 0.0119 0.9428  -0.01
Os1 0.4946 0.9893 0.5481  0.56
Se1 0.8694 0.7389 0.5972  0.04
Se2 0.0977 0.1954 0.3893  0.05
Se3 0.3981 0.7962 0.1319  0.01
Se4 0.6341 0.2682 0.8907  0.00



Stability summary - winner: version b; margin: 26.0 kJ/mol of atoms.



Version a
Computed, not measured: a geometry-optimized Nb2SnOs structure at the PBE level of DFT.

Values from the calculation:
SG: Fm-3m (225)
N(E_F), states/eV per cell: 7.72

a = 4.6640 Å, b = 4.6640 Å, c = 4.6640 Å
α = 60.00°, β = 60.00°, γ = 60.00°
Atoms (fractional coordinates):
Nb1 0.2500 0.2500 0.2500
Nb2 0.7500 0.7500 0.7500
Os1 0.5000 0.5000 0.5000
Sn1 0.0000 0.0000 0.0000



Version b
Computed, not measured: a geometry-optimized Nb2SnOs structure at the PBE level of DFT.

Values from the calculation:
SG: I-42d (122)
N(E_F), states/eV per cell: 6.10

a = 7.5739 Å, b = 7.5739 Å, c = 6.0517 Å
α = 51.26°, β = 51.26°, γ = 90.00°
Atoms (fractional coordinates):
Nb1 0.6737 0.1250 0.2500
Nb2 0.0763 0.6250 0.2500
Nb3 0.3750 0.3263 0.7500
Nb4 0.8750 0.9237 0.7500
Os1 0.0000 0.0000 0.0000
Os2 0.7500 0.2500 0.5000
Sn1 0.5000 0.5000 0.0000
Sn2 0.2500 0.7500 0.5000



Version c
Computed, not measured: a geometry-optimized Nb2SnOs structure at the PBE level of DFT.

Values from the calculation:
SG: R-3m (166)
N(E_F), states/eV per cell: 3.01

a = 3.8933 Å, b = 3.8933 Å, c = 6.8366 Å
α = 73.46°, β = 73.46°, γ = 60.00°
Atoms (fractional coordinates):
Nb1 0.2691 0.2691 0.1927
Nb2 0.7309 0.7309 0.8073
Os1 0.0000 0.0000 0.0000
Sn1 0.5000 0.5000 0.5000



Stability summary - winner: version a; margin: 15.0 kJ/mol of atoms.



Version a
Computed, not measured: a geometry-optimized NbSn2Os structure at the PBE level of DFT.

Values from the calculation:
SG: R-3m (166)
N(E_F), states/eV per cell: 4.15

a = 3.0397 Å, b = 3.0397 Å, c = 10.3032 Å
α = 81.52°, β = 81.52°, γ = 60.00°
Last column: magnetic moment on the atom in μB.
Atoms (fractional coordinates):
Nb1 0.5000 0.5000 0.5000  0.01
Os1 0.0000 0.0000 0.0000  0.71
Sn1 0.0874 0.0874 0.7378  0.01
Sn2 0.9126 0.9126 0.2622  0.01



Version b
Computed, not measured: a geometry-optimized NbSn2Os structure at the PBE level of DFT.

Values from the calculation:
SG: Fm-3m (225)
N(E_F), states/eV per cell: 3.11

a = 4.7279 Å, b = 4.7279 Å, c = 4.7279 Å
α = 60.00°, β = 60.00°, γ = 60.00°
Last column: magnetic moment on the atom in μB.
Atoms (fractional coordinates):
Nb1 0.0000 0.0000 0.0000  1.36
Os1 0.5000 0.5000 0.5000  0.47
Sn1 0.2500 0.2500 0.2500  0.02
Sn2 0.7500 0.7500 0.7500  0.02



Stability summary - winner: version b; margin: 28.2 kJ/mol of atoms.



Version a
Computed, not measured: a geometry-optimized SrNb2Os2 structure at the PBE level of DFT.

Values from the calculation:
SG: I4/mmm (139)
N(E_F), states/eV per cell: 5.10

a = 4.4457 Å, b = 4.4457 Å, c = 6.2802 Å
α = 69.27°, β = 69.27°, γ = 90.00°
Atoms (fractional coordinates):
Sr1 0.0000 0.0000 0.0000
Nb1 0.7500 0.2500 0.5000
Nb2 0.2500 0.7500 0.5000
Os1 0.3799 0.3799 0.2402
Os2 0.6201 0.6201 0.7598



Version b
Computed, not measured: a geometry-optimized SrNb2Os2 structure at the PBE level of DFT.

Values from the calculation:
SG: P4/mbm (127)
N(E_F), states/eV per cell: 7.90

a = 8.0417 Å, b = 8.0417 Å, c = 3.0026 Å
α = 90.00°, β = 90.00°, γ = 90.00°
Atoms (fractional coordinates):
Sr1 0.0000 0.0000 0.0000
Sr2 0.5000 0.5000 0.0000
Nb1 0.1443 0.6443 0.5000
Nb2 0.6443 0.8557 0.5000
Nb3 0.8557 0.3557 0.5000
Nb4 0.3557 0.1443 0.5000
Os1 0.3587 0.8587 0.0000
Os2 0.8587 0.6413 0.0000
Os3 0.6413 0.1413 0.0000
Os4 0.1413 0.3587 0.0000



Stability summary - winner: version a; margin: 23.6 kJ/mol of atoms.



Version a
Computed, not measured: a geometry-optimized Sr3NbOs structure at the PBE level of DFT.

Values from the calculation:
SG: Pm-3m (221)
N(E_F), states/eV per cell: 5.68

a = 5.6722 Å, b = 5.6722 Å, c = 5.6722 Å
α = 90.00°, β = 90.00°, γ = 90.00°
Last column: magnetic moment on the atom in μB.
Atoms (fractional coordinates):
Sr1 0.0000 0.5000 0.0000  0.01
Sr2 0.0000 0.0000 0.5000  0.03
Sr3 0.5000 0.0000 0.0000  0.01
Nb1 0.0000 0.0000 0.0000  0.73
Os1 0.5000 0.5000 0.5000  2.33



Version b
Computed, not measured: a geometry-optimized Sr3NbOs structure at the PBE level of DFT.

Values from the calculation:
SG: Pm-3m (221)
N(E_F), states/eV per cell: 14.24

a = 5.7216 Å, b = 5.7216 Å, c = 5.7216 Å
α = 90.00°, β = 90.00°, γ = 90.00°
Last column: magnetic moment on the atom in μB.
Atoms (fractional coordinates):
Sr1 0.0000 0.5000 0.0000  0.01
Sr2 0.0000 0.0000 0.5000  0.03
Sr3 0.5000 0.0000 0.0000  0.00
Nb1 0.5000 0.5000 0.5000  -0.60
Os1 0.0000 0.0000 0.0000  -0.49



Stability summary - winner: version b; margin: 46.8 kJ/mol of atoms.



Version a
Computed, not measured: a geometry-optimized Sr2NbOs structure at the PBE level of DFT.

Values from the calculation:
SG: Fm-3m (225)
N(E_F), states/eV per cell: 4.51

a = 5.2875 Å, b = 5.2875 Å, c = 5.2875 Å
α = 60.00°, β = 60.00°, γ = 60.00°
Last column: magnetic moment on the atom in μB.
Atoms (fractional coordinates):
Sr1 0.2500 0.2500 0.2500  0.10
Sr2 0.7500 0.7500 0.7500  0.10
Nb1 0.0000 0.0000 0.0000  2.50
Os1 0.5000 0.5000 0.5000  -0.43



Version b
Computed, not measured: a geometry-optimized Sr2NbOs structure at the PBE level of DFT.

Values from the calculation:
SG: I-42d (122)
N(E_F), states/eV per cell: 8.18

a = 11.4939 Å, b = 11.4939 Å, c = 8.4710 Å
α = 47.28°, β = 47.28°, γ = 90.00°
Last column: magnetic moment on the atom in μB.
Atoms (fractional coordinates):
Sr1 0.7896 0.1250 0.2500  0.03
Sr2 0.9604 0.6250 0.2500  0.03
Sr3 0.3750 0.2104 0.7500  0.03
Sr4 0.8750 0.0396 0.7500  0.03
Nb1 0.5000 0.5000 0.0000  0.83
Nb2 0.2500 0.7500 0.5000  0.83
Os1 0.0000 0.0000 0.0000  -0.09
Os2 0.7500 0.2500 0.5000  -0.10



Stability summary - winner: version b; margin: 42.5 kJ/mol of atoms.